# Cs2VOF6 PBE with a Hubbard U optimized geometry
# D(E_F) = 0.000 states/eV/atom
# VASP energy = -4.834 eV per atom
data_Cs2VOF6
_chemical_formula_sum 'Cs4 V2 O2 F12'
_cell_length_a 6.451
_cell_length_b 6.451
_cell_length_c 9.609
_cell_angle_alpha 90.00
_cell_angle_beta 90.00
_cell_angle_gamma 90.00
_space_group_name_H-M_alt 'I 4/m m m'
_space_group_IT_number 139
_space_group_name_Hall '-I 4 2'
loop_
_atom_site_label
_atom_site_type_symbol
_atom_site_fract_x
_atom_site_fract_y
_atom_site_fract_z
Cs1 Cs 0.000 0.500 0.250
V1 V 0.000 0.000 0.000
O1 O 0.000 0.000 0.500
F1 F 0.000 0.000 0.192
F2 F 0.208 0.208 0.000